(1)
Here is a relaxed structure of KCdRe from the Alexandria database. Energies are from PBE.

CIF file:
```
data_KCdRe
_symmetry_space_group_name_H-M 'F m m 2'
_symmetry_Int_Tables_number 42
_symmetry_space_group_name_Hall 'F 2 -2'
_cell_length_a 3.1320
_cell_length_b 4.6532
_cell_length_c 17.1107
_cell_angle_alpha 90.00
_cell_angle_beta 90.00
_cell_angle_gamma 90.00
loop_
_atom_site_label
_atom_site_type_symbol
_atom_site_fract_x
_atom_site_fract_y
_atom_site_fract_z
K1 K 0.0000 0.0000 0.0000
Cd1 Cd 0.0000 0.0000 0.6866
Re1 Re 0.0000 0.0000 0.3321
```

Properties
* excess energy over the best structure of this formula in the dataset: 0.82 eV per formula unit



(2)
Here is a relaxed structure of KCdRe from the Alexandria database. Energies are from PBE.

CIF file:
```
data_KCdRe
_symmetry_space_group_name_H-M 'P 1'
_symmetry_Int_Tables_number 1
_cell_length_a 3.1146
_cell_length_b 6.8859
_cell_length_c 8.1802
_cell_angle_alpha 89.88
_cell_angle_beta 89.98
_cell_angle_gamma 76.96
loop_
_symmetry_equiv_pos_as_xyz
'x,y,z'
loop_
_atom_site_label
_atom_site_type_symbol
_atom_site_fract_x
_atom_site_fract_y
_atom_site_fract_z
K1 K 0.0000 0.0000 0.0000
K2 K 0.4043 0.2182 0.5003
Cd1 Cd 0.1465 0.7306 0.3620
Cd2 Cd 0.6625 0.6964 0.6672
Re1 Re 0.2705 0.4813 0.9114
Re2 Re 0.7600 0.5025 0.1250
```

Properties
* excess energy over the best structure of this formula in the dataset: 0.08 eV per formula unit



(3)
Here is a relaxed structure of KCdRe2 from the Alexandria database. Energies are from PBE.

CIF file:
```
data_KCdRe2
_symmetry_space_group_name_H-M 'F -4 3 m'
_symmetry_Int_Tables_number 216
_symmetry_space_group_name_Hall 'F -4 2 3'
_cell_length_a 6.6734
_cell_length_b 6.6734
_cell_length_c 6.6734
_cell_angle_alpha 90.00
_cell_angle_beta 90.00
_cell_angle_gamma 90.00
loop_
_atom_site_label
_atom_site_type_symbol
_atom_site_fract_x
_atom_site_fract_y
_atom_site_fract_z
K1 K 0.0000 0.0000 0.0000
Cd1 Cd 0.2500 0.2500 0.7500
Re1 Re 0.0000 0.0000 0.5000
Re2 Re 0.2500 0.2500 0.2500
```



(4)
Here is a relaxed structure of KCd2Re from the Alexandria database. Energies are from PBE.

CIF file:
```
data_KCd2Re
_symmetry_space_group_name_H-M 'P m m m'
_symmetry_Int_Tables_number 47
_cell_length_a 2.8181
_cell_length_b 4.3396
_cell_length_c 7.7593
_cell_angle_alpha 90.00
_cell_angle_beta 90.00
_cell_angle_gamma 90.00
loop_
_symmetry_equiv_pos_as_xyz
'x,y,z'
'-x,-y,-z'
'-x,-y,z'
'x,y,-z'
'x,-y,-z'
'-x,y,z'
'-x,y,-z'
'x,-y,z'
loop_
_atom_site_label
_atom_site_type_symbol
_atom_site_fract_x
_atom_site_fract_y
_atom_site_fract_z
K1 K 0.0000 0.0000 0.0000
Cd1 Cd 0.5000 0.5000 0.3164
Re1 Re 0.0000 0.0000 0.5000
```

Properties
* excess energy over the best structure of this formula in the dataset: 0.02 eV per formula unit



(5)
Here is a relaxed structure of KCdRe2 from the Alexandria database. Energies are from PBE.

CIF file:
```
data_KCdRe2
_symmetry_space_group_name_H-M 'P m m m'
_symmetry_Int_Tables_number 47
_cell_length_a 2.7941
_cell_length_b 4.9353
_cell_length_c 5.5416
_cell_angle_alpha 90.00
_cell_angle_beta 90.00
_cell_angle_gamma 90.00
loop_
_symmetry_equiv_pos_as_xyz
'x,y,z'
'-x,-y,-z'
'-x,-y,z'
'x,y,-z'
'x,-y,-z'
'-x,y,z'
'-x,y,-z'
'x,-y,z'
loop_
_atom_site_label
_atom_site_type_symbol
_atom_site_fract_x
_atom_site_fract_y
_atom_site_fract_z
K1 K 0.0000 0.0000 0.0000
Cd1 Cd 0.5000 0.5000 0.0000
Re1 Re 0.0000 0.5000 0.5000
Re2 Re 0.5000 0.0000 0.5000
```



(6)
Here is a relaxed structure of KCd2Re from the Alexandria database. Energies are from PBE.

CIF file:
```
data_KCd2Re
_symmetry_space_group_name_H-M 'I -4 m 2'
_symmetry_Int_Tables_number 119
_symmetry_space_group_name_Hall 'I -4 -2'
_cell_length_a 4.2778
_cell_length_b 4.2778
_cell_length_c 9.6496
_cell_angle_alpha 90.00
_cell_angle_beta 90.00
_cell_angle_gamma 90.00
loop_
_atom_site_label
_atom_site_type_symbol
_atom_site_fract_x
_atom_site_fract_y
_atom_site_fract_z
K1 K 0.0000 0.0000 0.0000
Cd1 Cd 0.0000 0.0000 0.5000
Cd2 Cd 0.0000 0.5000 0.2500
Re1 Re 0.0000 0.5000 0.7500
```

Properties
* excess energy over the best structure of this formula in the dataset: 2.20 eV per formula unit



(7)
Here is a relaxed structure of KCd2Re from the Alexandria database. Energies are from PBE.

CIF file:
```
data_KCd2Re
_symmetry_space_group_name_H-M 'P 4/m m m'
_symmetry_Int_Tables_number 123
_symmetry_space_group_name_Hall '-P 4 2'
_cell_length_a 5.3407
_cell_length_b 5.3407
_cell_length_c 2.9115
_cell_angle_alpha 90.00
_cell_angle_beta 90.00
_cell_angle_gamma 90.00
loop_
_atom_site_label
_atom_site_type_symbol
_atom_site_fract_x
_atom_site_fract_y
_atom_site_fract_z
K1 K 0.0000 0.0000 0.0000
Cd1 Cd 0.0000 0.5000 0.5000
Re1 Re 0.5000 0.5000 0.0000
```

Properties
* excess energy over the best structure of this formula in the dataset: 0.45 eV per formula unit



(8)
Here is a relaxed structure of KCd2Re from the Alexandria database. Energies are from PBE.

CIF file:
```
data_KCd2Re
_symmetry_space_group_name_H-M 'C m m m'
_symmetry_Int_Tables_number 65
_symmetry_space_group_name_Hall '-C 2 2'
_cell_length_a 3.3278
_cell_length_b 4.6522
_cell_length_c 10.9085
_cell_angle_alpha 90.00
_cell_angle_beta 90.00
_cell_angle_gamma 90.00
loop_
_atom_site_label
_atom_site_type_symbol
_atom_site_fract_x
_atom_site_fract_y
_atom_site_fract_z
K1 K 0.0000 0.0000 0.0000
Cd1 Cd 0.0000 0.5000 0.2797
Re1 Re 0.0000 0.0000 0.5000
```

Properties
* excess energy over the best structure of this formula in the dataset: 0.12 eV per formula unit



(9)
Here is a relaxed structure of KCdRe from the Alexandria database. Energies are from PBE.

CIF file:
```
data_KCdRe
_symmetry_space_group_name_H-M 'P -1'
_symmetry_Int_Tables_number 2
_cell_length_a 3.1384
_cell_length_b 6.7906
_cell_length_c 8.7302
_cell_angle_alpha 107.39
_cell_angle_beta 90.01
_cell_angle_gamma 102.95
loop_
_symmetry_equiv_pos_as_xyz
'x,y,z'
'-x,-y,-z'
loop_
_atom_site_label
_atom_site_type_symbol
_atom_site_fract_x
_atom_site_fract_y
_atom_site_fract_z
K1 K 0.0183 0.0085 0.2784
Cd1 Cd 0.2784 0.5572 0.8749
Re1 Re 0.2741 0.5499 0.4181
```

Properties
* excess energy over the best structure of this formula in the dataset: 0.00 eV per formula unit



(10)
Here is a relaxed structure of KCd2Re from the Alexandria database. Energies are from PBE.

CIF file:
```
data_KCd2Re
_symmetry_space_group_name_H-M 'I m m m'
_symmetry_Int_Tables_number 71
_symmetry_space_group_name_Hall '-I 2 2'
_cell_length_a 2.7295
_cell_length_b 6.0515
_cell_length_c 12.3235
_cell_angle_alpha 90.00
_cell_angle_beta 90.00
_cell_angle_gamma 90.00
loop_
_atom_site_label
_atom_site_type_symbol
_atom_site_fract_x
_atom_site_fract_y
_atom_site_fract_z
K1 K 0.0000 0.0000 0.0000
Cd1 Cd 0.0000 0.5000 0.2047
Re1 Re 0.0000 0.0000 0.5000
```

Properties
* excess energy over the best structure of this formula in the dataset: 0.97 eV per formula unit



(11)
Here is a relaxed structure of KCd2Re from the Alexandria database. Energies are from PBE.

CIF file:
```
data_KCd2Re
_symmetry_space_group_name_H-M 'R -3 m'
_symmetry_Int_Tables_number 166
_symmetry_space_group_name_Hall '-R 3 2"'
_cell_length_a 2.9718
_cell_length_b 2.9718
_cell_length_c 33.0029
_cell_angle_alpha 90.00
_cell_angle_beta 90.00
_cell_angle_gamma 120.00
loop_
_atom_site_label
_atom_site_type_symbol
_atom_site_fract_x
_atom_site_fract_y
_atom_site_fract_z
K1 K 0.0000 0.0000 0.0000
Cd1 Cd 0.0000 0.0000 0.2397
Re1 Re 0.0000 0.0000 0.5000
```

Properties
* excess energy over the best structure of this formula in the dataset: 0.00 eV per formula unit



(12)
Here is a relaxed structure of KCd2Re from the Alexandria database. Energies are from PBE.

CIF file:
```
data_KCd2Re
_symmetry_space_group_name_H-M 'P 4 m m'
_symmetry_Int_Tables_number 99
_cell_length_a 3.6992
_cell_length_b 3.6992
_cell_length_c 8.1651
_cell_angle_alpha 90.00
_cell_angle_beta 90.00
_cell_angle_gamma 90.00
loop_
_symmetry_equiv_pos_as_xyz
'x,y,z'
'-y,x,z'
'-x,-y,z'
'y,-x,z'
'-x,y,z'
'y,x,z'
'x,-y,z'
'-y,-x,z'
loop_
_atom_site_label
_atom_site_type_symbol
_atom_site_fract_x
_atom_site_fract_y
_atom_site_fract_z
K1 K 0.0000 0.0000 0.0000
Cd1 Cd 0.0000 0.0000 0.4240
Cd2 Cd 0.5000 0.5000 0.6689
Re1 Re 0.5000 0.5000 0.3247
```

Properties
* excess energy over the best structure of this formula in the dataset: 1.34 eV per formula unit



(13)
Here is a relaxed structure of KCdRe from the Alexandria database. Energies are from PBE.

CIF file:
```
data_KCdRe
_symmetry_space_group_name_H-M 'I m m a'
_symmetry_Int_Tables_number 74
_symmetry_space_group_name_Hall '-I 2b 2'
_cell_length_a 3.7270
_cell_length_b 6.2399
_cell_length_c 13.3643
_cell_angle_alpha 90.00
_cell_angle_beta 90.00
_cell_angle_gamma 90.00
loop_
_atom_site_label
_atom_site_type_symbol
_atom_site_fract_x
_atom_site_fract_y
_atom_site_fract_z
K1 K 0.0000 0.2500 0.1625
Cd1 Cd 0.0000 0.0000 0.5000
Re1 Re 0.0000 0.2500 0.6946
```

Properties
* excess energy over the best structure of this formula in the dataset: 0.30 eV per formula unit



(14)
Here is a relaxed structure of KCdRe2 from the Alexandria database. Energies are from PBE.

CIF file:
```
data_KCdRe2
_symmetry_space_group_name_H-M 'P 4 m m'
_symmetry_Int_Tables_number 99
_cell_length_a 3.0717
_cell_length_b 3.0717
_cell_length_c 9.3866
_cell_angle_alpha 90.00
_cell_angle_beta 90.00
_cell_angle_gamma 90.00
loop_
_symmetry_equiv_pos_as_xyz
'x,y,z'
'-y,x,z'
'-x,-y,z'
'y,-x,z'
'-x,y,z'
'y,x,z'
'x,-y,z'
'-y,-x,z'
loop_
_atom_site_label
_atom_site_type_symbol
_atom_site_fract_x
_atom_site_fract_y
_atom_site_fract_z
K1 K 0.0000 0.0000 0.0000
Cd1 Cd 0.5000 0.5000 0.6768
Re1 Re 0.0000 0.0000 0.4484
Re2 Re 0.5000 0.5000 0.3069
```



(15)
Here is a relaxed structure of KCdRe from the Alexandria database. Energies are from PBE.

CIF file:
```
data_KCdRe
_symmetry_space_group_name_H-M 'F -4 3 m'
_symmetry_Int_Tables_number 216
_symmetry_space_group_name_Hall 'F -4 2 3'
_cell_length_a 7.4700
_cell_length_b 7.4700
_cell_length_c 7.4700
_cell_angle_alpha 90.00
_cell_angle_beta 90.00
_cell_angle_gamma 90.00
loop_
_atom_site_label
_atom_site_type_symbol
_atom_site_fract_x
_atom_site_fract_y
_atom_site_fract_z
K1 K 0.0000 0.0000 0.0000
Cd1 Cd 0.2500 0.2500 0.7500
Re1 Re 0.2500 0.2500 0.2500
```

Properties
* excess energy over the best structure of this formula in the dataset: 4.69 eV per formula unit



In the order shown, the computed energy relative to the elements values come out to 0.937, 0.691, 1.427, 0.668, 1.282, 1.213, 0.775, 0.693, 0.665, 0.906, 0.664, 0.998, 0.767, 0.577, 2.228 eV per atom.
In the order shown, the computed total magnetic moment values come out to 0.0, 0.0, 0.0, 0.5, 0.0, 0.4, 0.0, 0.0, 0.0, 1.8, 0.0, 1.8, 0.0, 0.3, 15.9 μB per cell.
In the order shown, the computed VASP energy values come out to -3.883, -4.130, -5.300, -3.176, -5.445, -2.631, -3.069, -3.151, -4.155, -2.938, -3.180, -2.846, -4.053, -6.150, -2.592 eV per atom.